1.
# La4TeSe3 | the Alexandria database | GGA-PBE | relaxed
data_La4TeSe3
_chemical_formula_sum 'La4 Te1 Se3'
_symmetry_space_group_name_H-M 'P 1'
_symmetry_Int_Tables_number 1
_cell_length_a 4.3589
_cell_length_b 6.2122
_cell_length_c 8.8153
_cell_angle_alpha 90.00
_cell_angle_beta 90.00
_cell_angle_gamma 90.00
loop_
_symmetry_equiv_pos_as_xyz
'x,y,z'
loop_
_atom_site_label
_atom_site_fract_x
_atom_site_fract_y
_atom_site_fract_z
_atom_site_occupancy
La1 0.0000 0.0000 0.0000 1
La2 0.0000 0.0000 0.5000 1
La3 0.5000 0.5000 0.2344 1
La4 0.5000 0.5000 0.7656 1
Te1 0.0000 0.5000 0.5000 1
Se1 0.0000 0.5000 0.0000 1
Se2 0.5000 0.0000 0.2487 1
Se3 0.5000 0.0000 0.7513 1
# VASP energy: -48.3 eV for the cell shown

2.
# HoErCu | the Alexandria database | GGA-PBE | relaxed
data_HoErCu
_chemical_formula_sum 'Ho4 Er4 Cu4'
_symmetry_space_group_name_H-M 'P 1'
_symmetry_Int_Tables_number 1
_cell_length_a 6.8384
_cell_length_b 4.8662
_cell_length_c 8.6378
_cell_angle_alpha 90.00
_cell_angle_beta 90.00
_cell_angle_gamma 90.00
loop_
_symmetry_equiv_pos_as_xyz
'x,y,z'
loop_
_atom_site_label
_atom_site_fract_x
_atom_site_fract_y
_atom_site_fract_z
_atom_site_occupancy
Ho1 0.0153 0.2500 0.1750 1
Ho2 0.4847 0.7500 0.6750 1
Ho3 0.5153 0.2500 0.3250 1
Ho4 0.9847 0.7500 0.8250 1
Er1 0.1439 0.2500 0.5837 1
Er2 0.3561 0.7500 0.0837 1
Er3 0.6439 0.2500 0.9163 1
Er4 0.8561 0.7500 0.4163 1
Cu1 0.2406 0.2500 0.9007 1
Cu2 0.2594 0.7500 0.4007 1
Cu3 0.7406 0.2500 0.5993 1
Cu4 0.7594 0.7500 0.0993 1
# ΔE_f: -17.1 kJ/mol of atoms
# VASP energy: -55.1 eV for the cell shown

3.
# MgTlFeGe2 | the Alexandria database | GGA-PBE | relaxed
data_MgTlFeGe2
_chemical_formula_sum 'Mg1 Tl1 Fe1 Ge2'
_symmetry_space_group_name_H-M 'P 1'
_symmetry_Int_Tables_number 1
_cell_length_a 4.5682
_cell_length_b 4.5682
_cell_length_c 5.0681
_cell_angle_alpha 90.00
_cell_angle_beta 90.00
_cell_angle_gamma 90.00
loop_
_symmetry_equiv_pos_as_xyz
'x,y,z'
loop_
_atom_site_label
_atom_site_fract_x
_atom_site_fract_y
_atom_site_fract_z
_atom_site_occupancy
Mg1 0.0000 0.0000 0.0000 1
Tl1 0.5000 0.5000 0.0000 1
Fe1 0.0000 0.0000 0.5000 1
Ge1 0.0000 0.5000 0.5000 1
Ge2 0.5000 0.0000 0.5000 1
# ΔE_f: 8.3 kJ/mol of atoms
# VASP energy: -21.2 eV for the cell shown

Please write out number 1 again, unchanged.
# La4TeSe3 | the Alexandria database | GGA-PBE | relaxed
data_La4TeSe3
_chemical_formula_sum 'La4 Te1 Se3'
_symmetry_space_group_name_H-M 'P 1'
_symmetry_Int_Tables_number 1
_cell_length_a 4.3589
_cell_length_b 6.2122
_cell_length_c 8.8153
_cell_angle_alpha 90.00
_cell_angle_beta 90.00
_cell_angle_gamma 90.00
loop_
_symmetry_equiv_pos_as_xyz
'x,y,z'
loop_
_atom_site_label
_atom_site_fract_x
_atom_site_fract_y
_atom_site_fract_z
_atom_site_occupancy
La1 0.0000 0.0000 0.0000 1
La2 0.0000 0.0000 0.5000 1
La3 0.5000 0.5000 0.2344 1
La4 0.5000 0.5000 0.7656 1
Te1 0.0000 0.5000 0.5000 1
Se1 0.0000 0.5000 0.0000 1
Se2 0.5000 0.0000 0.2487 1
Se3 0.5000 0.0000 0.7513 1
# VASP energy: -48.3 eV for the cell shown